Here is an optimized crystal structure of CaBF3 from the Alexandria database. Energies are from PBE.

Cell lengths 4.0472, 4.0472, 4.0472 Å; angles 90.00, 90.00, 90.00 degrees
Element x y z (fractional)
F  0.0000  0.5000  0.0000
F  0.5000  0.0000  0.0000
F  0.0000  0.0000  0.5000
Ca  0.5000  0.5000  0.5000
B  0.0000  0.0000  0.0000

## Properties
Magnetization (μB/atom): 0.00
Theoretical density (g cm⁻³): 2.70
E_form (uncorrected) (eV/atom): -1.61
Volume (Å³ per atom): 13.26
Crystal system: cubic


Here is an optimized crystal structure of Ca2BF2 from the Alexandria database. Energies are from PBE.

Cell lengths 4.7159, 4.7159, 4.9835 Å; angles 61.76, 61.76, 90.00 degrees
Element x y z (fractional)
F  0.3013  0.3013  0.3975
F  0.6987  0.6987  0.6025
Ca  0.2500  0.7500  0.5000
Ca  0.7500  0.2500  0.5000
B  0.0000  0.0000  0.0000

## Properties
Magnetization (μB/atom): 0.19
Theoretical density (g cm⁻³): 2.60
E_form (uncorrected) (eV/atom): -1.56
Volume (Å³ per atom): 16.47
Crystal system: tetragonal


Here is an optimized crystal structure of CaB3F from the Alexandria database. Energies are from PBE.

Cell lengths 4.1049, 4.1049, 4.1049 Å; angles 90.00, 90.00, 90.00 degrees
Element x y z (fractional)
B  0.5000  0.0000  0.0000
B  0.0000  0.0000  0.5000
B  0.0000  0.5000  0.0000
Ca  0.5000  0.5000  0.5000
F  0.0000  0.0000  0.0000

## Properties
Magnetization (μB/atom): 0.00
Theoretical density (g cm⁻³): 2.20
E_form (uncorrected) (eV/atom): 1.40
Volume (Å³ per atom): 13.83
Crystal system: cubic


Here is an optimized crystal structure of Ca2BF2 from the Alexandria database. Energies are from PBE.

Cell lengths 7.0535, 7.0535, 3.0208 Å; angles 90.00, 90.00, 90.00 degrees
Element x y z (fractional)
F  0.3801  0.8801  0.0000
F  0.6199  0.1199  0.0000
F  0.1199  0.3801  0.0000
F  0.8801  0.6199  0.0000
B  0.0000  0.0000  0.0000
B  0.5000  0.5000  0.0000
Ca  0.6904  0.8096  0.5000
Ca  0.3096  0.1904  0.5000
Ca  0.1904  0.6904  0.5000
Ca  0.8096  0.3096  0.5000

## Properties
Magnetization (μB/atom): 0.21
Theoretical density (g cm⁻³): 2.85
E_form (uncorrected) (eV/atom): -1.49
Volume (Å³ per atom): 15.03
Crystal system: tetragonal


Here is an optimized crystal structure of CaB3F from the Alexandria database. Energies are from PBE.

Cell lengths 5.2098, 5.2098, 5.2098 Å; angles 90.00, 90.00, 90.00 degrees
Element x y z (fractional)
F  0.5000  0.5000  0.5000
Ca  0.0000  0.0000  0.0000
B  0.0000  0.5000  0.0000
B  0.0000  0.0000  0.5000
B  0.5000  0.0000  0.0000

## Properties
Magnetization (μB/atom): 0.68
Theoretical density (g cm⁻³): 1.07
E_form (uncorrected) (eV/atom): 2.49
Volume (Å³ per atom): 28.28
Crystal system: cubic


Here is an optimized crystal structure of CaBF from the Alexandria database. Energies are from PBE.

Cell lengths 3.1710, 6.9506, 7.5276 Å; angles 76.41, 90.00, 90.00 degrees
Element x y z (fractional)
Ca  0.7061  0.4310  0.2722
Ca  0.7939  0.9310  0.2722
Ca  0.2061  0.0690  0.7278
Ca  0.2939  0.5690  0.7278
F  0.7464  0.3487  0.6026
F  0.2536  0.6513  0.3974
F  0.2464  0.1513  0.3974
F  0.7536  0.8487  0.6026
B  0.5027  0.7587  0.9998
B  0.9973  0.2587  0.9998
B  0.0027  0.7413  0.0002
B  0.4973  0.2413  0.0002

## Properties
Magnetization (μB/atom): 0.00
Theoretical density (g cm⁻³): 2.88
E_form (uncorrected) (eV/atom): -1.88
Volume (Å³ per atom): 13.44
Crystal system: monoclinic


Question: Which of these has the lowest volume?
Answer: CaBF3


Question: What is the formula in the fourth record?
Answer: Ca2BF2


Question: What is the volume in the fifth record?
Answer: 28.28 Å³ per atom